[1]
# PmPr6SmEr2

A relaxed structure of PmPr6SmEr2 (GGA-PBE, the Alexandria database).

The structure in CIF format:
```
data_PmPr6SmEr2
_cell_length_a 9.386
_cell_length_b 15.365
_cell_length_c 9.789
_cell_angle_alpha 90.00
_cell_angle_beta 97.78
_cell_angle_gamma 90.00
_space_group_name_H-M_alt 'C 1 2/c 1'
_space_group_IT_number 15
_space_group_name_Hall '-C 2yc'
loop_
_atom_site_label
_atom_site_fract_x
_atom_site_fract_y
_atom_site_fract_z
Pm1 0.000 0.092 0.250
Pr1 0.065 0.325 0.445
Pr2 0.096 0.108 0.619
Pr3 0.213 0.276 0.816
Sm1 0.000 0.470 0.750
Er1 0.246 0.453 0.048
```

As for the energy of formation: 0.112 eV/atom. The calculation puts the total energy at -0.339 Ry per atom.

---

[2]
# ZnTc3N

A relaxed structure of ZnTc3N (GGA-PBE, the Alexandria database).

The structure in CIF format:
```
data_ZnTc3N
_cell_length_a 4.939
_cell_length_b 4.976
_cell_length_c 5.565
_cell_angle_alpha 88.58
_cell_angle_beta 73.53
_cell_angle_gamma 82.02
_space_group_name_H-M_alt 'P -1'
_space_group_IT_number 2
_space_group_name_Hall '-P 1'
loop_
_atom_site_label
_atom_site_fract_x
_atom_site_fract_y
_atom_site_fract_z
Zn1 0.241 0.402 0.317
Tc1 0.224 0.879 0.571
Tc2 0.227 0.874 0.072
Tc3 0.229 0.396 0.815
N1 0.468 0.039 0.757
```

As for the uncorrected formation energy: 42 meV per atom. The calculation puts the total energy at -0.595 Ry per atom.

---

[3]
# CdCu

A relaxed structure of CdCu (GGA-PBE, the Alexandria database).

The structure in CIF format:
```
data_CdCu
_cell_length_a 4.2965
_cell_length_b 4.2965
_cell_length_c 8.7802
_cell_angle_alpha 90.00
_cell_angle_beta 90.00
_cell_angle_gamma 120.00
_space_group_name_H-M_alt 'P 63/m m c'
_space_group_IT_number 194
_space_group_name_Hall '-P 6c 2c'
loop_
_atom_site_label
_atom_site_fract_x
_atom_site_fract_y
_atom_site_fract_z
Cd1 0.3333 0.6667 0.0844
Cu1 0.0000 0.0000 0.2500
Cu2 0.3333 0.6667 0.7500
```

As for the energy of formation: 0.114 eV/atom. The calculation puts the total energy at -0.176 Ry per atom.

---

no.,V (Å³/cell)
1,1398.68
2,129.88
3,140.37